[1]
The following is a PBE calculation of a geometry-optimized CsTbAg2 structure, from the Alexandria database.

Structure (CIF):
```
data_CsTbAg2
_chemical_formula_sum 'Cs1 Tb1 Ag2'
_symmetry_space_group_name_H-M 'P 4/m m m'
_symmetry_Int_Tables_number 123
_symmetry_space_group_name_Hall '-P 4 2'
_cell_length_a 3.868
_cell_length_b 3.868
_cell_length_c 8.695
_cell_angle_alpha 90.00
_cell_angle_beta 90.00
_cell_angle_gamma 90.00
loop_
_atom_site_label
_atom_site_fract_x
_atom_site_fract_y
_atom_site_fract_z
Cs1 0.000 0.000 0.000
Tb1 0.000 0.000 0.500
Ag1 0.500 0.500 0.331
```

E_form, eV per atom: -0.0572
Crystal system: tetragonal

[2]
The following is a PBE calculation of a geometry-optimized CsTb2AgTe4 structure, from the Alexandria database.

Structure (CIF):
```
data_CsTb2AgTe4
_chemical_formula_sum 'Cs4 Tb8 Ag4 Te16'
_symmetry_space_group_name_H-M 'C m c m'
_symmetry_Int_Tables_number 63
_symmetry_space_group_name_Hall '-C 2c 2'
_cell_length_a 4.530
_cell_length_b 15.646
_cell_length_c 15.950
_cell_angle_alpha 90.00
_cell_angle_beta 90.00
_cell_angle_gamma 90.00
loop_
_atom_site_label
_atom_site_fract_x
_atom_site_fract_y
_atom_site_fract_z
Cs1 0.000 0.120 0.250
Tb1 0.000 0.370 0.067
Ag1 0.000 0.165 0.750
Te1 0.000 0.000 0.000
Te2 0.000 0.260 0.600
Te3 0.000 0.438 0.250
```

Raw formation energy, eV/f.u.: -9.1
Crystal system: orthorhombic

[3]
The following is a PBE calculation of a geometry-optimized CsTb3Ag2Te6 structure, from the Alexandria database.

Structure (CIF):
```
data_CsTb3Ag2Te6
_chemical_formula_sum 'Cs2 Tb6 Ag4 Te12'
_symmetry_space_group_name_H-M 'C 1 2/m 1'
_symmetry_Int_Tables_number 12
_symmetry_space_group_name_Hall '-C 2y'
_cell_length_a 21.546
_cell_length_b 4.504
_cell_length_c 9.562
_cell_angle_alpha 90.00
_cell_angle_beta 110.48
_cell_angle_gamma 90.00
loop_
_atom_site_label
_atom_site_fract_x
_atom_site_fract_y
_atom_site_fract_z
Cs1 0.000 0.000 0.000
Tb1 0.000 0.000 0.500
Tb2 0.172 0.500 0.837
Ag1 0.243 0.000 0.394
Te1 0.021 0.500 0.725
Te2 0.162 0.000 0.584
Te3 0.178 0.000 0.066
```

Raw formation energy, eV/f.u.: -12.6
Crystal system: monoclinic

[4]
The following is a PBE calculation of a geometry-optimized Cs3TcAg structure, from the Alexandria database.

Structure (CIF):
```
data_Cs3TcAg
_chemical_formula_sum 'Cs3 Tc1 Ag1'
_symmetry_space_group_name_H-M 'P m -3 m'
_symmetry_Int_Tables_number 221
_symmetry_space_group_name_Hall '-P 4 2 3'
_cell_length_a 5.951
_cell_length_b 5.951
_cell_length_c 5.951
_cell_angle_alpha 90.00
_cell_angle_beta 90.00
_cell_angle_gamma 90.00
loop_
_atom_site_label
_atom_site_fract_x
_atom_site_fract_y
_atom_site_fract_z
Cs1 0.000 0.000 0.500
Tc1 0.000 0.000 0.000
Ag1 0.500 0.500 0.500
```

E_form, eV per atom: 1.0916
Crystal system: cubic

[5]
The following is a PBE calculation of a geometry-optimized CsTc3Ag structure, from the Alexandria database.

Structure (CIF):
```
data_CsTc3Ag
_chemical_formula_sum 'Cs1 Tc3 Ag1'
_symmetry_space_group_name_H-M 'P m -3 m'
_symmetry_Int_Tables_number 221
_symmetry_space_group_name_Hall '-P 4 2 3'
_cell_length_a 5.206
_cell_length_b 5.206
_cell_length_c 5.206
_cell_angle_alpha 90.00
_cell_angle_beta 90.00
_cell_angle_gamma 90.00
loop_
_atom_site_label
_atom_site_fract_x
_atom_site_fract_y
_atom_site_fract_z
Cs1 0.000 0.000 0.000
Tc1 0.000 0.500 0.500
Ag1 0.500 0.500 0.500
```

Energy above the lowest structure with this stoichiometry, meV/atom: 0
E_form, eV per atom: 2.3457
Crystal system: cubic

[6]
The following is a PBE calculation of a geometry-optimized CsTc3Ag structure, from the Alexandria database.

Structure (CIF):
```
data_CsTc3Ag
_chemical_formula_sum 'Cs1 Tc3 Ag1'
_symmetry_space_group_name_H-M 'P m -3 m'
_symmetry_Int_Tables_number 221
_symmetry_space_group_name_Hall '-P 4 2 3'
_cell_length_a 4.911
_cell_length_b 4.911
_cell_length_c 4.911
_cell_angle_alpha 90.00
_cell_angle_beta 90.00
_cell_angle_gamma 90.00
loop_
_atom_site_label
_atom_site_fract_x
_atom_site_fract_y
_atom_site_fract_z
Cs1 0.000 0.000 0.000
Tc1 0.000 0.000 0.500
Ag1 0.500 0.500 0.500
```

Energy above the lowest structure with this stoichiometry, meV/atom: 715
E_form, eV per atom: 3.0607
Crystal system: cubic

[7]
The following is a PBE calculation of a geometry-optimized CsTcAg3 structure, from the Alexandria database.

Structure (CIF):
```
data_CsTcAg3
_chemical_formula_sum 'Cs1 Tc1 Ag3'
_symmetry_space_group_name_H-M 'P m -3 m'
_symmetry_Int_Tables_number 221
_symmetry_space_group_name_Hall '-P 4 2 3'
_cell_length_a 5.425
_cell_length_b 5.425
_cell_length_c 5.425
_cell_angle_alpha 90.00
_cell_angle_beta 90.00
_cell_angle_gamma 90.00
loop_
_atom_site_label
_atom_site_fract_x
_atom_site_fract_y
_atom_site_fract_z
Cs1 0.000 0.000 0.000
Tc1 0.500 0.500 0.500
Ag1 0.000 0.500 0.500
```

E_form, eV per atom: 0.9026
Crystal system: cubic

[8]
The following is a PBE calculation of a geometry-optimized Cs12Ag5Te3 structure, from the Alexandria database.

Structure (CIF):
```
data_Cs12Ag5Te3
_chemical_formula_sum 'Cs96 Ag40 Te24'
_symmetry_space_group_name_H-M 'I a -3 d'
_symmetry_Int_Tables_number 230
_symmetry_space_group_name_Hall '-I 4bd 2c 3'
_cell_length_a 21.895
_cell_length_b 21.895
_cell_length_c 21.895
_cell_angle_alpha 90.00
_cell_angle_beta 90.00
_cell_angle_gamma 90.00
loop_
_atom_site_label
_atom_site_fract_x
_atom_site_fract_y
_atom_site_fract_z
Cs1 0.016 0.072 0.655
Ag1 0.000 0.000 0.000
Ag2 0.000 0.250 0.375
Te1 0.000 0.250 0.125
```

Raw formation energy, eV/f.u.: -6.8
Crystal system: cubic

| no. | M_tot (μB/f.u.) |
| --- | --- |
| 1 | 0.00 |
| 2 | 0.00 |
| 3 | 0.00 |
| 4 | 0.00 |
| 5 | 10.18 |
| 6 | 4.52 |
| 7 | 3.66 |
| 8 | 0.00 |